<one>
DFT (PBE) results for crystalline TbHo6Er3 at its relaxed geometry.

Lattice parameters (Å, degrees): 11.4060 11.4060 6.3052 90.00 90.00 130.60
Closest atoms and distances in Å follow each position.
Atoms (fractional coordinates):
Tb1 0.1616 0.8384 0.5000  6 Ho 3.23-3.59, 2 Er 3.48
Tb2 0.8384 0.1616 0.0000  6 Ho 3.23-3.59, 2 Er 3.48
Ho1 0.0153 0.9847 0.6953  4 Ho 3.22-3.55, 1 Tb 3.27, 4 Er 3.50-3.52
Ho2 0.1046 0.5426 0.1853  2 Er 3.23-3.36, 3 Ho 3.36-3.53, 2 Tb 3.51-3.59
Ho3 0.2589 0.3786 0.9445  3 Er 3.30-3.48, 4 Ho 3.46-3.63
Ho4 0.3012 0.6988 0.7272  1 Er 3.12, 1 Tb 3.23, 2 Ho 3.37
Ho5 0.3786 0.2589 0.4445  3 Er 3.30-3.48, 4 Ho 3.46-3.63
Ho6 0.4574 0.8954 0.1853  2 Er 3.23-3.36, 3 Ho 3.36-3.53, 2 Tb 3.51-3.59
Ho7 0.5426 0.1046 0.6853  2 Er 3.23-3.36, 3 Ho 3.36-3.53, 2 Tb 3.51-3.59
Ho8 0.6214 0.7411 0.9445  3 Er 3.30-3.48, 4 Ho 3.46-3.63
Ho9 0.6988 0.3012 0.2272  1 Er 3.12, 1 Tb 3.23, 2 Ho 3.37
Ho10 0.7411 0.6214 0.4445  3 Er 3.30-3.48, 4 Ho 3.46-3.63
Ho11 0.8954 0.4574 0.6853  2 Er 3.23-3.36, 3 Ho 3.36-3.53, 2 Tb 3.51-3.59
Ho12 0.9847 0.0153 0.1953  4 Ho 3.22-3.55, 1 Tb 3.27, 4 Er 3.50-3.52
Er1 0.0426 0.2957 0.5255  2 Er 3.22-3.36, 5 Ho 3.23-3.52, 1 Tb 3.48
Er2 0.2957 0.0426 0.0255  2 Er 3.22-3.36, 5 Ho 3.23-3.52, 1 Tb 3.48
Er3 0.4192 0.5808 0.4195  5 Ho 3.12-3.48, 2 Er 3.36
Er4 0.5808 0.4192 0.9195  5 Ho 3.12-3.48, 2 Er 3.36
Er5 0.7043 0.9574 0.5255  2 Er 3.22-3.36, 5 Ho 3.23-3.52, 1 Tb 3.48
Er6 0.9574 0.7043 0.0255  2 Er 3.22-3.36, 5 Ho 3.23-3.52, 1 Tb 3.48

The calculation puts the total magnetization at 0.00 μB/atom. For the density of states at the Fermi level, the calculation gives 15.05 states/eV/f.u. The crystal system is orthorhombic.



<two>
DFT (PBE) results for crystalline TbHo6Er3 at its relaxed geometry.

Lattice parameters (Å, degrees): 10.8524 10.8524 6.1250 90.00 90.00 119.74
Closest atoms and distances in Å follow each position.
Atoms (fractional coordinates):
Tb1 0.2075 0.7925 0.5000  3 Er 3.22-3.46, 7 Ho 3.26-3.42
Tb2 0.7925 0.2075 0.0000  3 Er 3.22-3.46, 7 Ho 3.26-3.42
Ho1 0.0407 0.4605 0.2896  5 Ho 3.22-3.41, 2 Er 3.24-3.55, 2 Tb 3.26-3.38
Ho2 0.0478 0.9522 0.7329  1 Tb 3.32, 4 Er 3.49-3.58, 2 Ho 3.55
Ho3 0.2838 0.7162 0.0078  4 Ho 3.22-3.34, 1 Er 3.30, 2 Tb 3.34-3.42
Ho4 0.2894 0.3818 0.1185  4 Er 3.36-3.55, 6 Ho 3.38-3.72
Ho5 0.3818 0.2894 0.6185  4 Er 3.36-3.55, 6 Ho 3.38-3.72
Ho6 0.4605 0.0407 0.7896  5 Ho 3.22-3.41, 2 Er 3.24-3.55, 2 Tb 3.26-3.38
Ho7 0.5395 0.9593 0.2896  5 Ho 3.22-3.41, 2 Er 3.24-3.55, 2 Tb 3.26-3.38
Ho8 0.6182 0.7106 0.1185  4 Er 3.36-3.55, 6 Ho 3.38-3.72
Ho9 0.7106 0.6182 0.6185  4 Er 3.36-3.55, 6 Ho 3.38-3.72
Ho10 0.7162 0.2838 0.5078  4 Ho 3.22-3.34, 1 Er 3.30, 2 Tb 3.34-3.42
Ho11 0.9522 0.0478 0.2329  1 Tb 3.32, 4 Er 3.49-3.58, 2 Ho 3.55
Ho12 0.9593 0.5395 0.7896  5 Ho 3.22-3.41, 2 Er 3.24-3.55, 2 Tb 3.26-3.38
Er1 0.0625 0.2804 0.6955  1 Tb 3.22, 6 Ho 3.24-3.58
Er2 0.2804 0.0625 0.1955  1 Tb 3.22, 6 Ho 3.24-3.58
Er3 0.3899 0.6101 0.5792  5 Ho 3.30-3.55, 1 Tb 3.46, 2 Er 3.65
Er4 0.6101 0.3899 0.0792  5 Ho 3.30-3.55, 1 Tb 3.46, 2 Er 3.65
Er5 0.7196 0.9375 0.6955  1 Tb 3.22, 6 Ho 3.24-3.58
Er6 0.9375 0.7196 0.1955  1 Tb 3.22, 6 Ho 3.24-3.58

The calculation puts the total magnetization at 0.00 μB/atom. For the density of states at the Fermi level, the calculation gives 14.09 states/eV/f.u. The crystal system is orthorhombic.



Most stable structure, least stable structure: <one>, <two>.



<one>
DFT (PBE) results for crystalline Tb5HoEr5 at its relaxed geometry.

Lattice parameters (Å, degrees): 9.8017 9.8017 6.9010 110.52 110.52 34.82
Closest atoms and distances in Å follow each position.
Atoms (fractional coordinates):
Tb1 0.0000 0.0000 0.0000  2 Ho 2.93, 2 Er 2.94
Tb2 0.3221 0.3221 0.0675  6 Er 3.19-3.56, 2 Tb 3.39-3.51, 1 Ho 3.53
Tb3 0.3220 0.3220 0.5763  6 Er 3.19-3.56, 2 Tb 3.39-3.51, 1 Ho 3.53
Tb4 0.6780 0.6780 0.4237  6 Er 3.19-3.56, 2 Tb 3.39-3.51, 1 Ho 3.53
Tb5 0.6779 0.6779 0.9325  6 Er 3.19-3.56, 2 Tb 3.39-3.51, 1 Ho 3.53
Ho1 0.5000 0.5000 0.0000  2 Tb 2.93
Er1 0.1232 0.1232 0.6238  4 Er 3.54-3.63, 6 Tb 3.55-3.85
Er2 0.1688 0.1688 0.1694  3 Tb 2.94-3.19
Er3 0.5000 0.5000 0.5000  2 Ho 3.45, 4 Tb 3.56, 4 Er 3.63
Er4 0.8312 0.8312 0.8306  3 Tb 2.94-3.19
Er5 0.8768 0.8768 0.3762  4 Er 3.54-3.63, 6 Tb 3.55-3.85

The calculation puts the total magnetization at 0.08 μB/atom. For the density of states at the Fermi level, the calculation gives 17.94 states/eV/f.u. The crystal system is monoclinic.



<two>
DFT (PBE) results for crystalline Tb5HoEr5 at its relaxed geometry.

Lattice parameters (Å, degrees): 6.8129 6.8967 8.2607 75.92 76.73 72.21
Closest atoms and distances in Å follow each position.
Atoms (fractional coordinates):
Tb1 0.0000 0.0000 0.0000  6 Er 3.31-3.41, 2 Ho 3.45, 2 Tb 3.68
Tb2 0.1555 0.1340 0.3583  2 Tb 3.35-3.38, 7 Er 3.42-3.69, 1 Ho 3.52
Tb3 0.3238 0.2709 0.6537  7 Er 3.27-3.55, 1 Tb 3.35, 1 Ho 3.57
Tb4 0.6762 0.7291 0.3463  7 Er 3.27-3.55, 1 Tb 3.35, 1 Ho 3.57
Tb5 0.8445 0.8660 0.6417  2 Tb 3.35-3.38, 7 Er 3.42-3.69, 1 Ho 3.52
Ho1 0.0000 0.5000 0.0000  6 Tb 3.45-3.57, 4 Er 3.48-3.65
Er1 0.2101 0.6396 0.3107  7 Tb 3.35-3.56, 1 Er 3.35, 1 Ho 3.65
Er2 0.3532 0.7494 0.7215  7 Tb 3.31-3.69, 2 Er 3.35-3.65, 1 Ho 3.48
Er3 0.5000 0.0000 0.0000  6 Tb 3.27-3.46, 2 Er 3.65
Er4 0.6468 0.2506 0.2785  7 Tb 3.31-3.69, 2 Er 3.35-3.65, 1 Ho 3.48
Er5 0.7899 0.3604 0.6893  7 Tb 3.35-3.56, 1 Er 3.35, 1 Ho 3.65

The calculation puts the total magnetization at 0.00 μB/atom. For the density of states at the Fermi level, the calculation gives 16.14 states/eV/f.u. The crystal system is triclinic.



Most stable structure, least stable structure: <two>, <one>.



<one>
DFT (PBE) results for crystalline Tb4Ho6Er at its relaxed geometry.

Lattice parameters (Å, degrees): 5.5563 5.5563 25.4658 90.00 90.00 118.83
Closest atoms and distances in Å follow each position.
Atoms (fractional coordinates):
Tb1 0.0278 0.9722 0.6215  5 Ho 3.10-3.27
Tb2 0.0278 0.9722 0.8785  5 Ho 3.10-3.27
Tb3 0.3429 0.6571 0.5431  7 Ho 3.38-3.68, 2 Tb 3.62-3.72
Tb4 0.3429 0.6571 0.9569  7 Ho 3.38-3.68, 2 Tb 3.62-3.72
Tb5 0.6571 0.3429 0.0431  7 Ho 3.38-3.68, 2 Tb 3.62-3.72
Tb6 0.6571 0.3429 0.4569  7 Ho 3.38-3.68, 2 Tb 3.62-3.72
Tb7 0.9722 0.0278 0.1215  5 Ho 3.10-3.27
Tb8 0.9722 0.0278 0.3785  5 Ho 3.10-3.27
Ho1 0.0000 0.0000 0.0000  8 Tb 3.10-3.46
Ho2 0.0000 0.0000 0.5000  8 Tb 3.10-3.46
Ho3 0.0209 0.9791 0.7500  3 Er 3.20-3.24, 2 Tb 3.27
Ho4 0.3107 0.6893 0.1054  5 Tb 3.25-3.56
Ho5 0.3107 0.6893 0.3946  5 Tb 3.25-3.56
Ho6 0.3560 0.6440 0.6822  7 Ho 3.45-3.79, 4 Tb 3.50-3.62, 3 Er 3.60-3.69
Ho7 0.3560 0.6440 0.8178  7 Ho 3.45-3.79, 4 Tb 3.50-3.62, 3 Er 3.60-3.69
Ho8 0.6440 0.3560 0.1822  7 Ho 3.45-3.79, 4 Tb 3.50-3.62, 3 Er 3.60-3.69
Ho9 0.6440 0.3560 0.3178  7 Ho 3.45-3.79, 4 Tb 3.50-3.62, 3 Er 3.60-3.69
Ho10 0.6893 0.3107 0.6054  5 Tb 3.25-3.56
Ho11 0.6893 0.3107 0.8946  5 Tb 3.25-3.56
Ho12 0.9791 0.0209 0.2500  3 Er 3.20-3.24, 2 Tb 3.27
Er1 0.3134 0.6866 0.2500  3 Ho 3.20-3.24
Er2 0.6866 0.3134 0.7500  3 Ho 3.20-3.24

The calculation puts the total magnetization at 0.00 μB/atom. For the density of states at the Fermi level, the calculation gives 19.67 states/eV/f.u. The crystal system is orthorhombic.



<two>
DFT (PBE) results for crystalline Tb4Ho6Er at its relaxed geometry.

Lattice parameters (Å, degrees): 8.4344 8.4344 8.4344 127.10 127.10 78.09
Closest atoms and distances in Å follow each position.
Atoms (fractional coordinates):
Tb1 0.2535 0.2535 0.6618  3 Ho 2.97-3.19, 2 Tb 3.25
Tb2 0.4083 0.7465 0.0000  3 Ho 2.97-3.19, 2 Tb 3.25
Tb3 0.5917 0.5917 0.3382  3 Ho 2.97-3.19, 2 Tb 3.25
Tb4 0.7465 0.4083 0.0000  3 Ho 2.97-3.19, 2 Tb 3.25
Ho1 0.0000 0.5000 0.5000  4 Tb 2.97
Ho2 0.0520 0.5778 0.0000  1 Tb 3.19, 1 Er 3.50
Ho3 0.4222 0.4222 0.4742  1 Tb 3.19, 1 Er 3.50
Ho4 0.5000 0.0000 0.5000  4 Tb 2.97
Ho5 0.5778 0.0520 0.0000  1 Tb 3.19, 1 Er 3.50
Ho6 0.9480 0.9480 0.5258  1 Tb 3.19, 1 Er 3.50
Er1 0.0000 0.0000 0.0000  8 Ho 3.50-3.76, 4 Tb 3.66

The calculation puts the total magnetization at 0.00 μB/atom. For the density of states at the Fermi level, the calculation gives 12.08 states/eV/f.u. The crystal system is tetragonal.



Most stable structure, least stable structure: <one>, <two>.



<one>
DFT (PBE) results for crystalline Tb6Ho12Er at its relaxed geometry.

Lattice parameters (Å, degrees): 8.4663 8.4663 8.4663 88.40 88.40 88.40
Closest atoms and distances in Å follow each position.
Atoms (fractional coordinates):
Tb1 0.1895 0.7567 0.5911  6 Ho 3.25-3.58, 1 Er 3.45, 2 Tb 3.46
Tb2 0.2433 0.4089 0.8105  6 Ho 3.25-3.58, 1 Er 3.45, 2 Tb 3.46
Tb3 0.4089 0.8105 0.2433  6 Ho 3.25-3.58, 1 Er 3.45, 2 Tb 3.46
Tb4 0.5911 0.1895 0.7567  6 Ho 3.25-3.58, 1 Er 3.45, 2 Tb 3.46
Tb5 0.7567 0.5911 0.1895  6 Ho 3.25-3.58, 1 Er 3.45, 2 Tb 3.46
Tb6 0.8105 0.2433 0.4089  6 Ho 3.25-3.58, 1 Er 3.45, 2 Tb 3.46
Ho1 0.0430 0.9367 0.2740  3 Tb 3.25-3.42, 6 Ho 3.26-3.53
Ho2 0.0633 0.7260 0.9570  3 Tb 3.25-3.42, 6 Ho 3.26-3.53
Ho3 0.1450 0.4890 0.2924  4 Ho 3.39-3.53, 4 Tb 3.48-3.66, 1 Er 3.53
Ho4 0.2740 0.0430 0.9367  3 Tb 3.25-3.42, 6 Ho 3.26-3.53
Ho5 0.2924 0.1450 0.4890  4 Ho 3.39-3.53, 4 Tb 3.48-3.66, 1 Er 3.53
Ho6 0.4890 0.2924 0.1450  4 Ho 3.39-3.53, 4 Tb 3.48-3.66, 1 Er 3.53
Ho7 0.5110 0.7076 0.8550  4 Ho 3.39-3.53, 4 Tb 3.48-3.66, 1 Er 3.53
Ho8 0.7076 0.8550 0.5110  4 Ho 3.39-3.53, 4 Tb 3.48-3.66, 1 Er 3.53
Ho9 0.7260 0.9570 0.0633  3 Tb 3.25-3.42, 6 Ho 3.26-3.53
Ho10 0.8550 0.5110 0.7076  4 Ho 3.39-3.53, 4 Tb 3.48-3.66, 1 Er 3.53
Ho11 0.9367 0.2740 0.0430  3 Tb 3.25-3.42, 6 Ho 3.26-3.53
Ho12 0.9570 0.0633 0.7260  3 Tb 3.25-3.42, 6 Ho 3.26-3.53
Er1 0.5000 0.5000 0.5000  6 Tb 3.45, 6 Ho 3.53

The calculation puts the total magnetization at 0.00 μB/atom. For the density of states at the Fermi level, the calculation gives 31.13 states/eV/f.u. The crystal system is trigonal.



<two>
DFT (PBE) results for crystalline Tb6Ho12Er at its relaxed geometry.

Lattice parameters (Å, degrees): 9.2348 9.2348 9.2348 107.25 107.25 107.25
Closest atoms and distances in Å follow each position.
Atoms (fractional coordinates):
Tb1 0.2916 0.6818 0.6818  8 Ho 3.35-3.55, 2 Tb 3.51
Tb2 0.3182 0.3182 0.7084  8 Ho 3.35-3.55, 2 Tb 3.51
Tb3 0.3182 0.7084 0.3182  8 Ho 3.35-3.55, 2 Tb 3.51
Tb4 0.6818 0.2916 0.6818  8 Ho 3.35-3.55, 2 Tb 3.51
Tb5 0.6818 0.6818 0.2916  8 Ho 3.35-3.55, 2 Tb 3.51
Tb6 0.7084 0.3182 0.3182  8 Ho 3.35-3.55, 2 Tb 3.51
Ho1 0.0951 0.3289 0.3289  1 Er 3.25, 4 Tb 3.35-3.55, 4 Ho 3.40-3.48
Ho2 0.1121 0.5000 0.8879  5 Ho 3.33-3.68, 4 Tb 3.36-3.45
Ho3 0.1121 0.8879 0.5000  5 Ho 3.33-3.68, 4 Tb 3.36-3.45
Ho4 0.3289 0.0951 0.3289  1 Er 3.25, 4 Tb 3.35-3.55, 4 Ho 3.40-3.48
Ho5 0.3289 0.3289 0.0951  1 Er 3.25, 4 Tb 3.35-3.55, 4 Ho 3.40-3.48
Ho6 0.5000 0.1121 0.8879  5 Ho 3.33-3.68, 4 Tb 3.36-3.45
Ho7 0.5000 0.8879 0.1121  5 Ho 3.33-3.68, 4 Tb 3.36-3.45
Ho8 0.6711 0.6711 0.9049  1 Er 3.25, 4 Tb 3.35-3.55, 4 Ho 3.40-3.48
Ho9 0.6711 0.9049 0.6711  1 Er 3.25, 4 Tb 3.35-3.55, 4 Ho 3.40-3.48
Ho10 0.8879 0.1121 0.5000  5 Ho 3.33-3.68, 4 Tb 3.36-3.45
Ho11 0.8879 0.5000 0.1121  5 Ho 3.33-3.68, 4 Tb 3.36-3.45
Ho12 0.9049 0.6711 0.6711  1 Er 3.25, 4 Tb 3.35-3.55, 4 Ho 3.40-3.48
Er1 0.0000 0.0000 0.0000  6 Ho 3.25

The calculation puts the total magnetization at 0.00 μB/atom. For the density of states at the Fermi level, the calculation gives 31.04 states/eV/f.u. The crystal system is trigonal.



Most stable structure, least stable structure: <one>, <two>.